# 1
VASP calculation (PBE) on a geometry-optimized YAgRu3 structure.

Structure (CIF):
```
data_YAgRu3
_chemical_formula_sum 'Y1 Ag1 Ru3'
_cell_length_a 4.888
_cell_length_b 4.888
_cell_length_c 4.888
_cell_angle_alpha 90.00
_cell_angle_beta 90.00
_cell_angle_gamma 90.00
_space_group_name_H-M_alt 'P 1'
_space_group_IT_number 1
loop_
_space_group_symop_operation_xyz
'x,y,z'
loop_
_atom_site_label
_atom_site_type_symbol
_atom_site_fract_x
_atom_site_fract_y
_atom_site_fract_z
_atom_site_occupancy
Y1 Y 0.000 0.000 0.000 1
Ag1 Ag 0.500 0.500 0.500 1
Ru1 Ru 0.000 0.000 0.500 1
Ru2 Ru 0.000 0.500 0.000 1
Ru3 Ru 0.500 0.000 0.000 1
```

## Properties
DOS at the Fermi energy in states/eV/atom: 0.859
Excess energy over the best structure of this formula in the dataset in meV per atom: 408

=====

# 2
VASP calculation (PBE) on a geometry-optimized YAg2Ru structure.

Structure (CIF):
```
data_YAg2Ru
_chemical_formula_sum 'Y1 Ag2 Ru1'
_cell_length_a 4.035
_cell_length_b 4.089
_cell_length_c 4.545
_cell_angle_alpha 90.00
_cell_angle_beta 90.00
_cell_angle_gamma 90.00
_space_group_name_H-M_alt 'P 1'
_space_group_IT_number 1
loop_
_space_group_symop_operation_xyz
'x,y,z'
loop_
_atom_site_label
_atom_site_type_symbol
_atom_site_fract_x
_atom_site_fract_y
_atom_site_fract_z
_atom_site_occupancy
Y1 Y 0.000 0.000 0.000 1
Ag1 Ag 0.000 0.500 0.500 1
Ag2 Ag 0.500 0.000 0.500 1
Ru1 Ru 0.500 0.500 0.000 1
```

## Properties
DOS at the Fermi energy in states/eV/atom: 0.884
Excess energy over the best structure of this formula in the dataset in meV per atom: 0

=====

# 3
VASP calculation (PBE) on a geometry-optimized Y4AgRu structure.

Structure (CIF):
```
data_Y4AgRu
_chemical_formula_sum 'Y16 Ag4 Ru4'
_cell_length_a 9.577
_cell_length_b 9.577
_cell_length_c 9.577
_cell_angle_alpha 60.00
_cell_angle_beta 60.00
_cell_angle_gamma 60.00
_space_group_name_H-M_alt 'P 1'
_space_group_IT_number 1
loop_
_space_group_symop_operation_xyz
'x,y,z'
loop_
_atom_site_label
_atom_site_type_symbol
_atom_site_fract_x
_atom_site_fract_y
_atom_site_fract_z
_atom_site_occupancy
Y1 Y 0.061 0.061 0.439 1
Y2 Y 0.061 0.439 0.061 1
Y3 Y 0.061 0.439 0.439 1
Y4 Y 0.189 0.189 0.811 1
Y5 Y 0.189 0.811 0.189 1
Y6 Y 0.189 0.811 0.811 1
Y7 Y 0.203 0.599 0.599 1
Y8 Y 0.439 0.061 0.061 1
Y9 Y 0.439 0.061 0.439 1
Y10 Y 0.439 0.439 0.061 1
Y11 Y 0.599 0.203 0.599 1
Y12 Y 0.599 0.599 0.203 1
Y13 Y 0.599 0.599 0.599 1
Y14 Y 0.811 0.189 0.189 1
Y15 Y 0.811 0.189 0.811 1
Y16 Y 0.811 0.811 0.189 1
Ag1 Ag 0.505 0.832 0.832 1
Ag2 Ag 0.832 0.505 0.832 1
Ag3 Ag 0.832 0.832 0.505 1
Ag4 Ag 0.832 0.832 0.832 1
Ru1 Ru 0.390 0.390 0.390 1
Ru2 Ru 0.390 0.390 0.829 1
Ru3 Ru 0.390 0.829 0.390 1
Ru4 Ru 0.829 0.390 0.390 1
```

## Properties
DOS at the Fermi energy in states/eV/atom: 1.277
Excess energy over the best structure of this formula in the dataset in meV per atom: 0

=====

# 4
VASP calculation (PBE) on a geometry-optimized YAgRu2 structure.

Structure (CIF):
```
data_YAgRu2
_chemical_formula_sum 'Y1 Ag1 Ru2'
_cell_length_a 3.219
_cell_length_b 3.219
_cell_length_c 7.148
_cell_angle_alpha 90.00
_cell_angle_beta 90.00
_cell_angle_gamma 90.00
_space_group_name_H-M_alt 'P 1'
_space_group_IT_number 1
loop_
_space_group_symop_operation_xyz
'x,y,z'
loop_
_atom_site_label
_atom_site_type_symbol
_atom_site_fract_x
_atom_site_fract_y
_atom_site_fract_z
_atom_site_occupancy
Y1 Y 0.000 0.000 0.000 1
Ag1 Ag 0.500 0.500 0.302 1
Ru1 Ru 0.000 0.000 0.554 1
Ru2 Ru 0.500 0.500 0.720 1
```

## Properties
DOS at the Fermi energy in states/eV/atom: 0.997
Excess energy over the best structure of this formula in the dataset in meV per atom: 46

=====

# 5
VASP calculation (PBE) on a geometry-optimized YAgRu2 structure.

Structure (CIF):
```
data_YAgRu2
_chemical_formula_sum 'Y4 Ag4 Ru8'
_cell_length_a 6.575
_cell_length_b 6.575
_cell_length_c 6.575
_cell_angle_alpha 90.00
_cell_angle_beta 90.00
_cell_angle_gamma 90.00
_space_group_name_H-M_alt 'P 1'
_space_group_IT_number 1
loop_
_space_group_symop_operation_xyz
'x,y,z'
loop_
_atom_site_label
_atom_site_type_symbol
_atom_site_fract_x
_atom_site_fract_y
_atom_site_fract_z
_atom_site_occupancy
Y1 Y 0.000 0.000 0.000 1
Y2 Y 0.000 0.500 0.500 1
Y3 Y 0.500 0.000 0.500 1
Y4 Y 0.500 0.500 0.000 1
Ag1 Ag 0.000 0.000 0.500 1
Ag2 Ag 0.000 0.500 0.000 1
Ag3 Ag 0.500 0.000 0.000 1
Ag4 Ag 0.500 0.500 0.500 1
Ru1 Ru 0.250 0.250 0.250 1
Ru2 Ru 0.250 0.250 0.750 1
Ru3 Ru 0.250 0.750 0.250 1
Ru4 Ru 0.250 0.750 0.750 1
Ru5 Ru 0.750 0.250 0.250 1
Ru6 Ru 0.750 0.250 0.750 1
Ru7 Ru 0.750 0.750 0.250 1
Ru8 Ru 0.750 0.750 0.750 1
```

## Properties
DOS at the Fermi energy in states/eV/atom: 1.758
Excess energy over the best structure of this formula in the dataset in meV per atom: 219

=====

# 6
VASP calculation (PBE) on a geometry-optimized YAgRu2 structure.

Structure (CIF):
```
data_YAgRu2
_chemical_formula_sum 'Y1 Ag1 Ru2'
_cell_length_a 3.458
_cell_length_b 3.458
_cell_length_c 6.125
_cell_angle_alpha 90.00
_cell_angle_beta 90.00
_cell_angle_gamma 90.00
_space_group_name_H-M_alt 'P 1'
_space_group_IT_number 1
loop_
_space_group_symop_operation_xyz
'x,y,z'
loop_
_atom_site_label
_atom_site_type_symbol
_atom_site_fract_x
_atom_site_fract_y
_atom_site_fract_z
_atom_site_occupancy
Y1 Y 0.000 0.000 0.000 1
Ag1 Ag 0.000 0.000 0.500 1
Ru1 Ru 0.500 0.500 0.283 1
Ru2 Ru 0.500 0.500 0.717 1
```

## Properties
DOS at the Fermi energy in states/eV/atom: 1.475
Excess energy over the best structure of this formula in the dataset in meV per atom: 233

=====

# 7
VASP calculation (PBE) on a geometry-optimized YAgRu2 structure.

Structure (CIF):
```
data_YAgRu2
_chemical_formula_sum 'Y1 Ag1 Ru2'
_cell_length_a 4.100
_cell_length_b 4.100
_cell_length_c 4.173
_cell_angle_alpha 90.00
_cell_angle_beta 90.00
_cell_angle_gamma 90.00
_space_group_name_H-M_alt 'P 1'
_space_group_IT_number 1
loop_
_space_group_symop_operation_xyz
'x,y,z'
loop_
_atom_site_label
_atom_site_type_symbol
_atom_site_fract_x
_atom_site_fract_y
_atom_site_fract_z
_atom_site_occupancy
Y1 Y 0.000 0.000 0.000 1
Ag1 Ag 0.500 0.500 0.000 1
Ru1 Ru 0.000 0.500 0.500 1
Ru2 Ru 0.500 0.000 0.500 1
```

## Properties
DOS at the Fermi energy in states/eV/atom: 1.380
Excess energy over the best structure of this formula in the dataset in meV per atom: 50

=====

# 8
VASP calculation (PBE) on a geometry-optimized YAg2Ru structure.

Structure (CIF):
```
data_YAg2Ru
_chemical_formula_sum 'Y4 Ag8 Ru4'
_cell_length_a 6.741
_cell_length_b 6.741
_cell_length_c 6.741
_cell_angle_alpha 90.00
_cell_angle_beta 90.00
_cell_angle_gamma 90.00
_space_group_name_H-M_alt 'P 1'
_space_group_IT_number 1
loop_
_space_group_symop_operation_xyz
'x,y,z'
loop_
_atom_site_label
_atom_site_type_symbol
_atom_site_fract_x
_atom_site_fract_y
_atom_site_fract_z
_atom_site_occupancy
Y1 Y 0.000 0.000 0.000 1
Y2 Y 0.000 0.500 0.500 1
Y3 Y 0.500 0.000 0.500 1
Y4 Y 0.500 0.500 0.000 1
Ag1 Ag 0.000 0.000 0.500 1
Ag2 Ag 0.000 0.500 0.000 1
Ag3 Ag 0.250 0.250 0.250 1
Ag4 Ag 0.250 0.750 0.750 1
Ag5 Ag 0.500 0.000 0.000 1
Ag6 Ag 0.500 0.500 0.500 1
Ag7 Ag 0.750 0.250 0.750 1
Ag8 Ag 0.750 0.750 0.250 1
Ru1 Ru 0.250 0.250 0.750 1
Ru2 Ru 0.250 0.750 0.250 1
Ru3 Ru 0.750 0.250 0.250 1
Ru4 Ru 0.750 0.750 0.750 1
```

## Properties
DOS at the Fermi energy in states/eV/atom: 0.914
Excess energy over the best structure of this formula in the dataset in meV per atom: 144

=====

# 9
VASP calculation (PBE) on a geometry-optimized YAg2Ru structure.

Structure (CIF):
```
data_YAg2Ru
_chemical_formula_sum 'Y4 Ag8 Ru4'
_cell_length_a 3.954
_cell_length_b 3.954
_cell_length_c 20.915
_cell_angle_alpha 90.00
_cell_angle_beta 90.00
_cell_angle_gamma 90.00
_space_group_name_H-M_alt 'P 1'
_space_group_IT_number 1
loop_
_space_group_symop_operation_xyz
'x,y,z'
loop_
_atom_site_label
_atom_site_type_symbol
_atom_site_fract_x
_atom_site_fract_y
_atom_site_fract_z
_atom_site_occupancy
Y1 Y 0.000 0.000 0.000 1
Y2 Y 0.000 0.500 0.250 1
Y3 Y 0.500 0.000 0.750 1
Y4 Y 0.500 0.500 0.500 1
Ag1 Ag 0.234 0.250 0.625 1
Ag2 Ag 0.250 0.734 0.875 1
Ag3 Ag 0.250 0.766 0.375 1
Ag4 Ag 0.266 0.250 0.125 1
Ag5 Ag 0.734 0.750 0.125 1
Ag6 Ag 0.750 0.234 0.375 1
Ag7 Ag 0.750 0.266 0.875 1
Ag8 Ag 0.766 0.750 0.625 1
Ru1 Ru 0.000 0.000 0.500 1
Ru2 Ru 0.000 0.500 0.750 1
Ru3 Ru 0.500 0.000 0.250 1
Ru4 Ru 0.500 0.500 0.000 1
```

## Properties
DOS at the Fermi energy in states/eV/atom: 0.909
Excess energy over the best structure of this formula in the dataset in meV per atom: 291

=====

# 10
VASP calculation (PBE) on a geometry-optimized YAgRu2 structure.

Structure (CIF):
```
data_YAgRu2
_chemical_formula_sum 'Y2 Ag2 Ru4'
_cell_length_a 4.093
_cell_length_b 4.093
_cell_length_c 8.614
_cell_angle_alpha 90.00
_cell_angle_beta 90.00
_cell_angle_gamma 90.00
_space_group_name_H-M_alt 'P 1'
_space_group_IT_number 1
loop_
_space_group_symop_operation_xyz
'x,y,z'
loop_
_atom_site_label
_atom_site_type_symbol
_atom_site_fract_x
_atom_site_fract_y
_atom_site_fract_z
_atom_site_occupancy
Y1 Y 0.000 0.000 0.000 1
Y2 Y 0.500 0.500 0.500 1
Ag1 Ag 0.000 0.000 0.500 1
Ag2 Ag 0.500 0.500 0.000 1
Ru1 Ru 0.000 0.500 0.250 1
Ru2 Ru 0.000 0.500 0.750 1
Ru3 Ru 0.500 0.000 0.250 1
Ru4 Ru 0.500 0.000 0.750 1
```

## Properties
DOS at the Fermi energy in states/eV/atom: 1.160
Excess energy over the best structure of this formula in the dataset in meV per atom: 162

=====

# 11
VASP calculation (PBE) on a geometry-optimized YAg2Ru structure.

Structure (CIF):
```
data_YAg2Ru
_chemical_formula_sum 'Y3 Ag6 Ru3'
_cell_length_a 2.998
_cell_length_b 2.998
_cell_length_c 29.721
_cell_angle_alpha 90.00
_cell_angle_beta 90.00
_cell_angle_gamma 120.00
_space_group_name_H-M_alt 'P 1'
_space_group_IT_number 1
loop_
_space_group_symop_operation_xyz
'x,y,z'
loop_
_atom_site_label
_atom_site_type_symbol
_atom_site_fract_x
_atom_site_fract_y
_atom_site_fract_z
_atom_site_occupancy
Y1 Y 0.000 0.000 0.000 1
Y2 Y 0.333 0.667 0.667 1
Y3 Y 0.667 0.333 0.333 1
Ag1 Ag 0.000 0.000 0.244 1
Ag2 Ag 0.000 0.000 0.756 1
Ag3 Ag 0.333 0.667 0.423 1
Ag4 Ag 0.333 0.667 0.910 1
Ag5 Ag 0.667 0.333 0.090 1
Ag6 Ag 0.667 0.333 0.577 1
Ru1 Ru 0.000 0.000 0.500 1
Ru2 Ru 0.333 0.667 0.167 1
Ru3 Ru 0.667 0.333 0.833 1
```

## Properties
DOS at the Fermi energy in states/eV/atom: 1.058
Excess energy over the best structure of this formula in the dataset in meV per atom: 568

=====

# 12
VASP calculation (PBE) on a geometry-optimized Y4AgRu structure.

Structure (CIF):
```
data_Y4AgRu
_chemical_formula_sum 'Y8 Ag2 Ru2'
_cell_length_a 6.904
_cell_length_b 6.904
_cell_length_c 7.076
_cell_angle_alpha 90.00
_cell_angle_beta 90.09
_cell_angle_gamma 90.00
_space_group_name_H-M_alt 'P 1'
_space_group_IT_number 1
loop_
_space_group_symop_operation_xyz
'x,y,z'
loop_
_atom_site_label
_atom_site_type_symbol
_atom_site_fract_x
_atom_site_fract_y
_atom_site_fract_z
_atom_site_occupancy
Y1 Y 0.250 0.250 0.233 1
Y2 Y 0.250 0.250 0.767 1
Y3 Y 0.250 0.750 0.233 1
Y4 Y 0.250 0.750 0.767 1
Y5 Y 0.750 0.250 0.233 1
Y6 Y 0.750 0.250 0.767 1
Y7 Y 0.750 0.750 0.233 1
Y8 Y 0.750 0.750 0.767 1
Ag1 Ag 0.000 0.000 0.500 1
Ag2 Ag 0.500 0.500 0.500 1
Ru1 Ru 0.000 0.500 0.000 1
Ru2 Ru 0.500 0.000 0.000 1
```

## Properties
DOS at the Fermi energy in states/eV/atom: 1.111
Excess energy over the best structure of this formula in the dataset in meV per atom: 165